[1]
This record from Alexandria describes crystalline NaSm3In4 at its relaxed geometry. The functional is PBE.

As for the formation energy: -0.39 eV/atom. The crystal system is trigonal.

The space group is R-3m (No. 166, hexagonal axes) and the conventional cell measures 5.3575, 5.3575 and 26.7372 Å, with angles of 90.00, 90.00 and 120.00 degrees. The inequivalent atoms are Na at (0.0000, 0.0000, 0.0000), Sm at (0.0000, 0.0000, 0.2549), Sm at (0.0000, 0.0000, 0.5000), In at (0.0000, 0.0000, 0.1250) and In at (0.0000, 0.0000, 0.3758).

***

[2]
This record from Alexandria describes crystalline NaSm2In9 at its relaxed geometry. The functional is PBE.

As for the formation energy: -0.32 eV/atom. The crystal system is tetragonal.

The space group is P4/mmm (No. 123) and the conventional cell measures 4.6754, 4.6754 and 14.1399 Å, with angles of 90.00, 90.00 and 90.00 degrees. The inequivalent atoms are Na at (0.0000, 0.0000, 0.0000), Sm at (0.0000, 0.0000, 0.3342), In at (0.0000, 0.5000, 0.1640), In at (0.0000, 0.5000, 0.5000), In at (0.5000, 0.5000, 0.0000) and In at (0.5000, 0.5000, 0.3354).

***

[3]
This record from Alexandria describes crystalline NaSmIn2 at its relaxed geometry. The functional is PBE.

As for the formation energy: -0.32 eV/atom. The energy above the most stable polymorph in this dataset is 0.00 kJ/mol of atoms. The crystal system is tetragonal.

The space group is P4/mmm (No. 123) and the conventional cell measures 5.2520, 5.2520 and 3.9492 Å, with angles of 90.00, 90.00 and 90.00 degrees. The inequivalent atoms are Na at (0.0000, 0.0000, 0.0000), Sm at (0.5000, 0.5000, 0.0000) and In at (0.0000, 0.5000, 0.5000).

***

[4]
This record from Alexandria describes crystalline NaSmInSn at its relaxed geometry. The functional is PBE.

As for the formation energy: -0.33 eV/atom. The energy above the most stable polymorph in this dataset is 7.91 kJ/mol of atoms. The crystal system is cubic.

The space group is F-43m (No. 216) and the conventional cell measures 7.5866, 7.5866 and 7.5866 Å, with angles of 90.00, 90.00 and 90.00 degrees. The inequivalent atoms are Na at (0.0000, 0.0000, 0.0000), Sm at (0.0000, 0.0000, 0.5000), In at (0.2500, 0.2500, 0.7500) and Sn at (0.2500, 0.2500, 0.2500).

***

[5]
This record from Alexandria describes crystalline NaSmInSn at its relaxed geometry. The functional is PBE.

As for the formation energy: -0.41 eV/atom. The energy above the most stable polymorph in this dataset is 0.00 kJ/mol of atoms. The crystal system is orthorhombic.

The space group is Pmmm (No. 47) and the conventional cell measures 4.5546, 4.7100 and 4.9177 Å, with angles of 90.00, 90.00 and 90.00 degrees. The inequivalent atoms are Na at (0.0000, 0.0000, 0.0000), Sm at (0.0000, 0.5000, 0.5000), In at (0.5000, 0.5000, 0.0000) and Sn at (0.5000, 0.0000, 0.5000).

***

[6]
This record from Alexandria describes crystalline Na2SmInSn2 at its relaxed geometry. The functional is PBE.

As for the formation energy: -0.38 eV/atom. The crystal system is orthorhombic.

The space group is Pmc2_1 (No. 26) and the conventional cell measures 4.6568, 9.4870 and 7.7584 Å, with angles of 90.00, 90.00 and 90.00 degrees. The inequivalent atoms are Na at (0.0000, 0.0745, 0.0000), Na at (0.5000, 0.1680, 0.3061), Sm at (0.5000, 0.4455, 0.9337), In at (0.0000, 0.3193, 0.6045), Sn at (0.0000, 0.3793, 0.2167) and Sn at (0.5000, 0.1585, 0.7192).

***

[7]
This record from Alexandria describes crystalline NaTbSmIn at its relaxed geometry. The functional is PBE.

As for the formation energy: -0.14 eV/atom. The crystal system is cubic.

The space group is F-43m (No. 216) and the conventional cell measures 7.7116, 7.7116 and 7.7116 Å, with angles of 90.00, 90.00 and 90.00 degrees. The inequivalent atoms are Na at (0.0000, 0.0000, 0.0000), Tb at (0.2500, 0.2500, 0.7500), Sm at (0.2500, 0.2500, 0.2500) and In at (0.0000, 0.0000, 0.5000).

***

[8]
This record from Alexandria describes crystalline Na2SmInTe4 at its relaxed geometry. The functional is PBE.

Its energy relative to the elements, uncorrected is -0.902 eV per atom. The crystal system is monoclinic.

The space group is P2/m (No. 10) and the conventional cell measures 7.7462, 4.3939 and 8.0339 Å, with angles of 90.00, 108.72 and 90.00 degrees. The inequivalent atoms are Na at (0.0000, 0.0000, 0.0000), Na at (0.5000, 0.5000, 0.0000), Sm at (0.0000, 0.5000, 0.5000), In at (0.5000, 0.0000, 0.5000), Te at (0.2460, 0.0000, 0.7389) and Te at (0.2724, 0.5000, 0.2764).

***

[9]
This record from Alexandria describes crystalline NaSmInTe3 at its relaxed geometry. The functional is PBE.

Its energy relative to the elements, uncorrected is -0.873 eV per atom. The crystal system is monoclinic.

The space group is P2_1/m (No. 11) and the conventional cell measures 8.9688, 4.5206 and 12.9963 Å, with angles of 90.00, 108.79 and 90.00 degrees. The inequivalent atoms are Na at (0.1778, 0.2500, 0.1243), Sm at (0.3270, 0.7500, 0.8730), In at (0.0286, 0.2500, 0.6178), Te at (0.0689, 0.2500, 0.8549), Te at (0.2422, 0.7500, 0.6127) and Te at (0.4306, 0.7500, 0.1275).

***

[10]
This record from Alexandria describes crystalline NaSmTlIn at its relaxed geometry. The functional is PBE.

As for the formation energy: -0.27 eV/atom. The energy above the most stable polymorph in this dataset is 2.02 kJ/mol of atoms. The crystal system is cubic.

The space group is F-43m (No. 216) and the conventional cell measures 7.5987, 7.5987 and 7.5987 Å, with angles of 90.00, 90.00 and 90.00 degrees. The inequivalent atoms are Na at (0.0000, 0.0000, 0.0000), Sm at (0.0000, 0.0000, 0.5000), Tl at (0.2500, 0.2500, 0.7500) and In at (0.2500, 0.2500, 0.2500).

***

[11]
This record from Alexandria describes crystalline NaSmTlIn at its relaxed geometry. The functional is PBE.

As for the formation energy: -0.29 eV/atom. The energy above the most stable polymorph in this dataset is 0.00 kJ/mol of atoms. The crystal system is orthorhombic.

The space group is Pmmm (No. 47) and the conventional cell measures 3.9296, 5.2959 and 5.3244 Å, with angles of 90.00, 90.00 and 90.00 degrees. The inequivalent atoms are Na at (0.0000, 0.0000, 0.0000), Sm at (0.0000, 0.5000, 0.5000), Tl at (0.5000, 0.5000, 0.0000) and In at (0.5000, 0.0000, 0.5000).

***

[12]
This record from Alexandria describes crystalline NaSmTmIn at its relaxed geometry. The functional is PBE.

As for the formation energy: -0.12 eV/atom. The crystal system is cubic.

The space group is F-43m (No. 216) and the conventional cell measures 7.6535, 7.6535 and 7.6535 Å, with angles of 90.00, 90.00 and 90.00 degrees. The inequivalent atoms are Na at (0.0000, 0.0000, 0.0000), Sm at (0.2500, 0.2500, 0.2500), Tm at (0.2500, 0.2500, 0.7500) and In at (0.0000, 0.0000, 0.5000).

***

[13]
This record from Alexandria describes crystalline NaSmYIn at its relaxed geometry. The functional is PBE.

As for the formation energy: -0.16 eV/atom. The crystal system is cubic.

The space group is F-43m (No. 216) and the conventional cell measures 7.7055, 7.7055 and 7.7055 Å, with angles of 90.00, 90.00 and 90.00 degrees. The inequivalent atoms are Na at (0.0000, 0.0000, 0.0000), Sm at (0.2500, 0.2500, 0.2500), Y at (0.2500, 0.2500, 0.7500) and In at (0.0000, 0.0000, 0.5000).